Entry 1:
5
Lattice="6.474 -2.482 0.000 6.474 2.482 0.000 -2.304 0.000 4.977" Properties=species:S:1:pos:R:3 comment="BaIn3Sn, relaxed, DFT PBE-GGA" magmom_total_mub_per_cell=0.00 polymorph_energy_ev_per_atom=0.000 final_energy_ev_per_cell=-15.9 dos_at_fermi_per_ev_atom=0.396 pbc="T T T"
Ba 0.000 0.000 0.000
In 1.660 0.000 3.794
In 6.685 0.000 3.141
In 9.013 0.000 1.193
Sn 4.083 0.000 1.894

Entry 2:
4
Lattice="2.505 1.446 6.251 -2.505 1.446 6.251 0.000 -2.892 6.251" Properties=species:S:1:pos:R:3 comment="BaIn2Sn, relaxed, DFT PBE-GGA" magmom_total_mub_per_cell=0.00 final_energy_ev_per_cell=-12.7 dos_at_fermi_per_ev_atom=0.254 pbc="T T T"
Ba 0.000 0.000 0.000
In 0.000 0.000 4.226
In 0.000 0.000 14.526
Sn 0.000 0.000 9.376

Entry 3:
16
Lattice="2.755 -6.146 0.000 2.755 6.146 0.000 0.000 0.000 16.448" Properties=species:S:1:pos:R:3 comment="Ba3In2Sn3, relaxed, DFT PBE-GGA" magmom_total_mub_per_cell=0.00 polymorph_energy_ev_per_atom=0.105 final_energy_ev_per_cell=-53.8 dos_at_fermi_per_ev_atom=0.398 pbc="T T T"
Ba 2.755 5.638 12.336
Ba 2.755 4.270 0.484
Ba 2.755 4.270 7.740
Ba 2.755 -4.270 8.708
Ba 2.755 -4.270 15.964
Ba 2.755 -5.638 4.112
In 2.755 2.202 10.849
In 2.755 2.202 13.823
In 2.755 -2.202 2.625
In 2.755 -2.202 5.599
Sn 2.755 2.945 4.112
Sn 2.755 0.555 1.529
Sn 2.755 0.555 6.695
Sn 2.755 -0.555 9.753
Sn 2.755 -0.555 14.919
Sn 2.755 -2.945 12.336

Entry 4:
13
Lattice="-3.181 5.505 5.503 3.181 -5.505 5.503 3.181 5.505 -5.503" Properties=species:S:1:pos:R:3 comment="BaIn7Sn5, relaxed, DFT PBE-GGA" magmom_total_mub_per_cell=0.00 final_energy_ev_per_cell=-42.2 dos_at_fermi_per_ev_atom=0.463 pbc="T T T"
Ba 0.000 0.000 0.000
In 3.181 2.365 -0.023
In 3.181 0.000 2.362
In 0.000 0.000 3.907
In 3.181 -1.555 5.501
In 0.000 0.000 7.034
In 3.181 1.555 5.501
In 0.000 3.141 5.479
Sn 1.586 2.750 2.725
Sn 1.595 -2.755 8.227
Sn 0.000 5.505 3.162
Sn 1.586 8.261 2.725
Sn 1.595 2.755 8.227

Entry 5:
6
Lattice="4.964 0.000 0.000 0.000 5.156 0.000 0.000 0.000 8.531" Properties=species:S:1:pos:R:3 comment="Ba2In3Sn, relaxed, DFT PBE-GGA" magmom_total_mub_per_cell=0.00 polymorph_energy_ev_per_atom=0.017 final_energy_ev_per_cell=-18.9 dos_at_fermi_per_ev_atom=0.518 pbc="T T T"
Ba 0.000 0.000 0.000
Ba 2.482 0.000 4.187
In 0.000 2.578 2.845
In 0.000 2.578 5.680
In 2.482 2.578 7.021
Sn 2.482 2.578 1.359

Entry 6:
9
Lattice="8.049 -3.775 0.000 8.049 3.775 0.000 -1.603 0.000 4.828" Properties=species:S:1:pos:R:3 comment="BaIn2Sn6, relaxed, DFT PBE-GGA" magmom_total_mub_per_cell=0.00 polymorph_energy_ev_per_atom=0.000 final_energy_ev_per_cell=-32.5 dos_at_fermi_per_ev_atom=0.348 pbc="T T T"
Ba 0.000 0.000 0.000
In 4.899 0.000 4.307
In 9.595 0.000 0.521
Sn 4.353 2.251 1.447
Sn 7.247 1.428 2.414
Sn 10.141 2.251 3.381
Sn 4.353 -2.251 1.447
Sn 7.247 -1.428 2.414
Sn 10.141 -2.251 3.381

Entry 7:
4
Lattice="4.968 0.000 0.000 0.000 4.968 0.000 0.000 0.000 5.081" Properties=species:S:1:pos:R:3 comment="BaIn2Sn, relaxed, DFT PBE-GGA" magmom_total_mub_per_cell=0.00 final_energy_ev_per_cell=-12.7 dos_at_fermi_per_ev_atom=0.528 pbc="T T T"
Ba 0.000 0.000 0.000
In 0.000 2.484 2.541
In 2.484 0.000 2.541
Sn 2.484 2.484 0.000

Entry 8:
18
Lattice="-5.661 5.995 6.265 5.661 -5.995 6.265 5.661 5.995 -6.265" Properties=species:S:1:pos:R:3 comment="Ba6In2Sn, relaxed, DFT PBE-GGA" magmom_total_mub_per_cell=0.00 final_energy_ev_per_cell=-48.1 dos_at_fermi_per_ev_atom=1.256 pbc="T T T"
Ba 5.661 3.745 -3.159
Ba 3.428 0.000 1.984
Ba 7.894 0.000 1.984
Ba 2.629 3.935 0.000
Ba 3.032 -2.059 6.265
Ba 0.000 2.250 3.106
Ba 5.661 3.745 3.159
Ba 2.629 8.054 0.000
Ba 3.032 2.059 6.265
Ba -2.233 5.995 4.281
Ba 2.233 5.995 4.281
Ba 0.000 2.250 9.423
In 5.661 2.039 0.000
In 5.661 0.000 4.751
In 0.000 5.995 1.513
In 0.000 3.956 6.265
Sn 0.000 0.000 0.000
Sn 0.000 0.000 6.265

Entry 9:
11
Lattice="7.083 -3.485 0.000 7.083 3.485 0.000 -6.723 0.000 7.159" Properties=species:S:1:pos:R:3 comment="Ba2In5Sn4, relaxed, DFT PBE-GGA" magmom_total_mub_per_cell=0.00 final_energy_ev_per_cell=-36.1 dos_at_fermi_per_ev_atom=0.541 pbc="T T T"
Ba -1.569 0.000 1.685
Ba 9.012 0.000 5.473
In -1.602 1.502 5.247
In -1.602 -1.502 5.247
In 7.083 0.000 0.000
In 9.045 1.502 1.912
In 9.045 -1.502 1.912
Sn 4.070 0.000 1.008
Sn 1.245 0.000 4.095
Sn 6.198 0.000 3.063
Sn 3.373 0.000 6.151

Entry 10:
16
Lattice="-4.516 4.516 8.801 4.516 -4.516 8.801 4.516 4.516 -8.801" Properties=species:S:1:pos:R:3 comment="Ba5In2Sn, relaxed, DFT PBE-GGA" magmom_total_mub_per_cell=2.18 final_energy_ev_per_cell=-44.9 dos_at_fermi_per_ev_atom=1.172 pbc="T T T"
Ba 0.000 0.000 0.000
Ba 6.136 1.621 -2.588
Ba 1.621 2.895 -2.588
Ba 6.136 1.621 2.588
Ba 1.621 2.895 2.588
Ba 0.000 0.000 8.801
Ba 2.895 1.621 6.213
Ba -1.621 2.895 6.213
Ba 2.895 1.621 11.390
Ba -1.621 2.895 11.390
In 3.496 1.019 0.000
In 3.496 -1.019 8.801
In 1.019 5.535 0.000
In 1.019 3.496 8.801
Sn 0.000 0.000 4.401
Sn 0.000 0.000 13.202

Entry 11:
11
Lattice="5.173 -5.608 0.000 5.173 5.608 0.000 -1.488 0.000 6.196" Properties=species:S:1:pos:R:3 comment="Ba2In2Sn7, relaxed, DFT PBE-GGA" magmom_total_mub_per_cell=0.00 final_energy_ev_per_cell=-40.1 dos_at_fermi_per_ev_atom=0.499 pbc="T T T"
Ba 2.010 0.000 0.839
Ba 6.847 0.000 5.357
In 5.173 2.579 0.000
In 5.173 -2.579 0.000
Sn -0.744 0.000 3.098
Sn 1.203 2.066 4.151
Sn 1.203 -2.066 4.151
Sn 3.470 0.000 4.334
Sn 5.387 0.000 1.862
Sn 7.654 2.066 2.045
Sn 7.654 -2.066 2.045

Entry 12:
19
Lattice="5.563 3.212 5.436 -5.563 3.212 5.436 0.000 -6.424 5.436" Properties=species:S:1:pos:R:3 comment="Ba2In2Sn15, relaxed, DFT PBE-GGA" magmom_total_mub_per_cell=0.00 final_energy_ev_per_cell=-71.7 dos_at_fermi_per_ev_atom=0.387 pbc="T T T"
Ba 0.000 0.000 2.677
Ba 0.000 0.000 13.631
In 0.000 0.000 6.583
In 0.000 0.000 9.725
Sn -2.782 -1.606 5.436
Sn 0.000 -3.235 5.129
Sn -2.802 1.618 5.129
Sn -1.646 -2.851 8.154
Sn -3.292 0.000 8.154
Sn -2.802 -1.618 11.178
Sn -2.782 1.606 10.871
Sn 1.646 -2.851 8.154
Sn 0.000 3.212 5.436
Sn -1.646 2.851 8.154
Sn 2.802 1.618 5.129
Sn 3.292 0.000 8.154
Sn 1.646 2.851 8.154
Sn 2.802 -1.618 11.178
Sn 0.000 3.235 11.178

Entry 13:
9
Lattice="5.970 -3.443 0.000 5.970 3.443 0.000 -0.004 0.000 6.800" Properties=species:S:1:pos:R:3 comment="Ba2In6Sn, relaxed, DFT PBE-GGA" magmom_total_mub_per_cell=0.00 final_energy_ev_per_cell=-27.4 dos_at_fermi_per_ev_atom=0.692 pbc="T T T"
Ba 1.988 0.000 2.451
Ba 9.949 0.000 4.349
In 4.907 1.839 1.091
In 3.840 0.000 5.707
In 7.030 1.839 5.709
In 4.907 -1.839 1.091
In 8.097 0.000 1.093
In 7.030 -1.839 5.709
Sn 5.968 0.000 3.400

Entry 14:
8
Lattice="-2.634 2.634 10.784 2.634 -2.634 10.784 2.634 2.634 -10.784" Properties=species:S:1:pos:R:3 comment="BaIn2Sn, relaxed, DFT PBE-GGA" magmom_total_mub_per_cell=0.00 final_energy_ev_per_cell=-24.4 dos_at_fermi_per_ev_atom=0.526 pbc="T T T"
Ba 0.000 0.000 0.000
Ba 0.000 2.634 5.392
In 1.317 -0.634 8.088
In 2.000 1.317 2.696
In 1.317 3.267 -2.696
In 0.634 1.317 13.480
Sn 2.634 0.000 5.392
Sn 0.000 0.000 10.784

Entry 15:
16
Lattice="8.325 0.000 0.000 0.000 4.976 0.000 0.000 0.000 12.807" Properties=species:S:1:pos:R:3 comment="BaIn2Sn, relaxed, DFT PBE-GGA" magmom_total_mub_per_cell=0.00 final_energy_ev_per_cell=-51.9 dos_at_fermi_per_ev_atom=0.378 pbc="T T T"
Ba 1.256 1.244 1.772
Ba 2.906 3.732 8.176
Ba 5.419 1.244 4.632
Ba 7.069 3.732 11.035
In 0.223 1.244 8.304
In 1.265 1.244 11.045
In 2.898 3.732 4.641
In 3.940 3.732 1.900
In 4.385 1.244 10.907
In 5.427 1.244 8.166
In 7.060 3.732 1.762
In 8.102 3.732 4.504
Sn 1.349 1.244 5.502
Sn 2.813 3.732 11.905
Sn 5.512 1.244 0.902
Sn 6.976 3.732 7.306

Entry 16:
11
Lattice="8.680 0.000 0.000 -4.340 7.517 0.000 0.000 0.000 5.149" Properties=species:S:1:pos:R:3 comment="BaIn6Sn4, relaxed, DFT PBE-GGA" magmom_total_mub_per_cell=0.00 final_energy_ev_per_cell=-35.4 dos_at_fermi_per_ev_atom=0.557 pbc="T T T"
Ba 0.000 0.000 0.000
In -1.690 4.036 0.000
In 2.663 1.537 2.574
In 1.690 4.036 0.000
In 0.000 6.962 0.000
In 6.017 1.537 2.574
In 4.340 4.443 2.574
Sn 0.000 3.061 2.574
Sn -1.689 5.987 2.574
Sn 1.689 5.987 2.574
Sn 4.340 2.506 0.000

Entry 17:
12
Lattice="8.852 -2.666 0.000 8.852 2.666 0.000 -7.947 0.000 9.413" Properties=species:S:1:pos:R:3 comment="Ba5In2Sn5, relaxed, DFT PBE-GGA" magmom_total_mub_per_cell=0.00 final_energy_ev_per_cell=-41.5 dos_at_fermi_per_ev_atom=0.346 pbc="T T T"
Ba 0.000 0.000 0.000
Ba -1.756 0.000 3.865
Ba -2.997 0.000 7.733
Ba 12.753 0.000 1.680
Ba 11.512 0.000 5.548
In 0.659 0.000 6.459
In 9.097 0.000 2.954
Sn 1.847 0.000 3.313
Sn 6.507 0.000 1.489
Sn 4.878 0.000 4.707
Sn 3.250 0.000 7.924
Sn 7.909 0.000 6.100

Entry 18:
11
Lattice="-2.754 3.950 8.467 2.754 -3.950 8.467 2.754 3.950 -8.467" Properties=species:S:1:pos:R:3 comment="Ba3In4Sn4, relaxed, DFT PBE-GGA" magmom_total_mub_per_cell=0.00 final_energy_ev_per_cell=-37.6 dos_at_fermi_per_ev_atom=0.369 pbc="T T T"
Ba 0.000 0.000 0.000
Ba 2.754 0.000 6.349
Ba 0.000 3.950 2.118
In 2.754 1.551 -2.916
In 2.754 1.551 2.916
In 0.000 2.399 5.552
In 0.000 2.399 11.383
Sn 0.000 0.000 3.573
Sn 2.754 2.472 0.000
Sn 0.000 1.478 8.467
Sn 0.000 0.000 13.361

Entry 19:
12
Lattice="3.211 1.854 10.394 -3.211 1.854 10.394 0.000 -3.708 10.394" Properties=species:S:1:pos:R:3 comment="BaIn2Sn9, relaxed, DFT PBE-GGA" magmom_total_mub_per_cell=0.00 final_energy_ev_per_cell=-44.3 dos_at_fermi_per_ev_atom=0.355 pbc="T T T"
Ba 0.000 0.000 0.000
In 0.000 0.000 4.602
In 0.000 0.000 26.581
Sn -1.648 -0.951 13.047
Sn 0.000 0.000 10.505
Sn 0.000 -1.903 18.135
Sn -1.648 0.951 18.135
Sn 0.000 0.000 15.591
Sn 1.648 -0.951 13.047
Sn 0.000 1.903 13.047
Sn 0.000 0.000 20.677
Sn 1.648 0.951 18.135

Entry 20:
18
Lattice="4.450 -16.552 0.000 4.450 16.552 0.000 -1.311 0.000 4.377" Properties=species:S:1:pos:R:3 comment="BaIn2Sn6, relaxed, DFT PBE-GGA" magmom_total_mub_per_cell=0.00 polymorph_energy_ev_per_atom=0.069 final_energy_ev_per_cell=-63.8 dos_at_fermi_per_ev_atom=0.296 pbc="T T T"
Ba 3.466 10.736 3.283
Ba 4.122 -10.736 1.094
In 2.862 4.480 1.944
In 5.382 4.480 0.245
In 2.206 -4.480 4.132
In 4.726 -4.480 2.434
Sn 0.592 3.459 3.699
Sn 2.862 7.493 1.933
Sn 1.248 -3.459 1.510
Sn 2.819 0.912 0.389
Sn 2.164 -0.912 2.578
Sn 5.382 7.493 0.256
Sn 2.207 -7.493 4.121
Sn 5.424 0.912 1.799
Sn 4.769 -0.912 3.988
Sn 6.340 3.459 2.867
Sn 4.726 -7.493 2.445
Sn 6.996 -3.459 0.679

Entry 21:
5
Lattice="-2.110 2.110 10.864 2.110 -2.110 10.864 2.110 2.110 -10.864" Properties=species:S:1:pos:R:3 comment="Ba2In2Sn, relaxed, DFT PBE-GGA" magmom_total_mub_per_cell=0.00 polymorph_energy_ev_per_atom=0.151 final_energy_ev_per_cell=-15.0 dos_at_fermi_per_ev_atom=0.629 pbc="T T T"
Ba 0.000 0.000 2.144
Ba 0.000 0.000 19.585
In 2.110 0.000 5.432
In 0.000 2.110 5.432
Sn 0.000 0.000 10.864

no.,DFT formation energy (meV per atom)
1,-342
2,-332
3,-458
4,-82
5,-474
6,-121
7,-314
8,-335
9,-233
10,-418
11,-249
12,-121
13,-351
14,-204
15,-391
16,-90
17,-536
18,-447
19,-69
20,-52
21,-339